Entry 1:
# KLiBe2 PBE optimized geometry
data_KLiBe2
_cell_length_a 6.409
_cell_length_b 3.693
_cell_length_c 14.837
_cell_angle_alpha 90.00
_cell_angle_beta 90.11
_cell_angle_gamma 90.00
_space_group_name_H-M_alt 'C 1 2/m 1'
_space_group_IT_number 12
loop_
_space_group_symop_operation_xyz
'x,y,z'
'-x,-y,-z'
'-x,y,-z'
'x,-y,z'
'x+1/2,y+1/2,z'
'-x+1/2,-y+1/2,-z'
'-x+1/2,y+1/2,-z'
'x+1/2,-y+1/2,z'
loop_
_atom_site_label
_atom_site_type_symbol
_atom_site_fract_x
_atom_site_fract_y
_atom_site_fract_z
K1 K 0.167 0.000 0.140
Li1 Li 0.165 0.000 0.656
Be1 Be 0.001 0.500 0.435
Be2 Be 0.166 0.000 0.485
# Distance to the lowest polymorph of the same formula: 0.0831 eV/atom
# Magnetic moment: 0.0 μB/cell
# Energy of formation from the pure elements: 0.259 eV per atom
# DFT total energy: -2.36 eV/atom

---

Entry 2:
# ScReNi PBE optimized geometry
data_ScReNi
_cell_length_a 2.8354
_cell_length_b 2.8354
_cell_length_c 6.6384
_cell_angle_alpha 90.00
_cell_angle_beta 90.00
_cell_angle_gamma 120.00
_space_group_name_H-M_alt 'P 3 m 1'
_space_group_IT_number 156
loop_
_space_group_symop_operation_xyz
'x,y,z'
'-y,x-y,z'
'-x+y,-x,z'
'-y,-x,z'
'-x+y,y,z'
'x,x-y,z'
loop_
_atom_site_label
_atom_site_type_symbol
_atom_site_fract_x
_atom_site_fract_y
_atom_site_fract_z
Sc1 Sc 0.0000 0.0000 0.0000
Re1 Re 0.3333 0.6667 0.6326
Ni1 Ni 0.6667 0.3333 0.3278
# Distance to the lowest polymorph of the same formula: 0.2362 eV/atom
# Magnetic moment: 0.0 μB/cell
# Energy of formation from the pure elements: 0.182 eV per atom
# DFT total energy: -8.01 eV/atom

---

Entry 3:
# NpUTc4 PBE optimized geometry
data_NpUTc4
_cell_length_a 7.527
_cell_length_b 7.527
_cell_length_c 7.527
_cell_angle_alpha 90.00
_cell_angle_beta 90.00
_cell_angle_gamma 90.00
_space_group_name_H-M_alt 'F -4 3 m'
_space_group_IT_number 216
_space_group_name_Hall 'F -4 2 3'
loop_
_atom_site_label
_atom_site_type_symbol
_atom_site_fract_x
_atom_site_fract_y
_atom_site_fract_z
Np1 Np 0.000 0.000 0.000
U1 U 0.250 0.250 0.750
Tc1 Tc 0.125 0.125 0.375
# Magnetic moment: 12.4 μB/cell
# Energy of formation from the pure elements: 0.104 eV per atom
# DFT total energy: -10.84 eV/atom

---

Entry 4:
# Sc2Cd2Pd5 PBE optimized geometry
data_Sc2Cd2Pd5
_cell_length_a 13.777
_cell_length_b 6.762
_cell_length_c 7.307
_cell_angle_alpha 90.00
_cell_angle_beta 90.00
_cell_angle_gamma 90.00
_space_group_name_H-M_alt 'I m a 2'
_space_group_IT_number 46
loop_
_space_group_symop_operation_xyz
'x,y,z'
'-x,-y,z'
'-x+1/2,y,z'
'x+1/2,-y,z'
'x+1/2,y+1/2,z+1/2'
'-x+1/2,-y+1/2,z+1/2'
'-x,y+1/2,z+1/2'
'x,-y+1/2,z+1/2'
loop_
_atom_site_label
_atom_site_type_symbol
_atom_site_fract_x
_atom_site_fract_y
_atom_site_fract_z
Sc1 Sc 0.130 0.030 0.000
Cd1 Cd 0.000 0.000 0.370
Cd2 Cd 0.250 0.531 0.881
Pd1 Pd 0.051 0.177 0.689
Pd2 Pd 0.147 0.690 0.181
Pd3 Pd 0.250 0.176 0.704
# Magnetic moment: 0.0 μB/cell
# Energy of formation from the pure elements: -0.481 eV per atom
# DFT total energy: -4.98 eV/atom

---

Entry 5:
# NaBiSeN2 PBE optimized geometry
data_NaBiSeN2
_cell_length_a 4.511
_cell_length_b 4.511
_cell_length_c 5.689
_cell_angle_alpha 90.00
_cell_angle_beta 90.00
_cell_angle_gamma 90.00
_space_group_name_H-M_alt 'P 4/m m m'
_space_group_IT_number 123
_space_group_name_Hall '-P 4 2'
loop_
_atom_site_label
_atom_site_type_symbol
_atom_site_fract_x
_atom_site_fract_y
_atom_site_fract_z
Na1 Na 0.000 0.000 0.000
Bi1 Bi 0.500 0.500 0.500
Se1 Se 0.500 0.500 0.000
N1 N 0.000 0.500 0.500
# Distance to the lowest polymorph of the same formula: 0.0000 eV/atom
# Magnetic moment: 2.9 μB/cell
# DFT total energy: -4.01 eV/atom
# Formation energy (no corrections): 1.0616 eV/atom

---

Entry 6:
# CdSbF3 PBE optimized geometry
data_CdSbF3
_cell_length_a 4.453
_cell_length_b 4.453
_cell_length_c 4.453
_cell_angle_alpha 90.00
_cell_angle_beta 90.00
_cell_angle_gamma 90.00
_space_group_name_H-M_alt 'P m -3 m'
_space_group_IT_number 221
_space_group_name_Hall '-P 4 2 3'
loop_
_atom_site_label
_atom_site_type_symbol
_atom_site_fract_x
_atom_site_fract_y
_atom_site_fract_z
Cd1 Cd 0.000 0.000 0.000
Sb1 Sb 0.500 0.500 0.500
F1 F 0.000 0.000 0.500
# Distance to the lowest polymorph of the same formula: 0.2593 eV/atom
# Magnetic moment: 0.0 μB/cell
# DFT total energy: -3.45 eV/atom
# Formation energy (no corrections): -1.3204 eV/atom

---

Entry 7:
# Ac6HgAu PBE optimized geometry
data_Ac6HgAu
_cell_length_a 5.634
_cell_length_b 5.634
_cell_length_c 19.345
_cell_angle_alpha 90.00
_cell_angle_beta 90.00
_cell_angle_gamma 90.00
_space_group_name_H-M_alt 'I 4/m m m'
_space_group_IT_number 139
_space_group_name_Hall '-I 4 2'
loop_
_atom_site_label
_atom_site_type_symbol
_atom_site_fract_x
_atom_site_fract_y
_atom_site_fract_z
Ac1 Ac 0.000 0.000 0.249
Ac2 Ac 0.000 0.500 0.102
Hg1 Hg 0.000 0.000 0.000
Au1 Au 0.000 0.000 0.500
# Magnetic moment: 0.0 μB/cell
# Energy of formation from the pure elements: -0.296 eV per atom
# DFT total energy: -3.82 eV/atom

---

Entry 8:
# TlSn2Pb PBE optimized geometry
data_TlSn2Pb
_cell_length_a 4.2029
_cell_length_b 4.2029
_cell_length_c 24.4072
_cell_angle_alpha 90.00
_cell_angle_beta 90.00
_cell_angle_gamma 120.00
_space_group_name_H-M_alt 'R -3 m'
_space_group_IT_number 166
_space_group_name_Hall '-R 3 2"'
loop_
_atom_site_label
_atom_site_type_symbol
_atom_site_fract_x
_atom_site_fract_y
_atom_site_fract_z
Tl1 Tl 0.0000 0.0000 0.0000
Sn1 Sn 0.0000 0.0000 0.2492
Pb1 Pb 0.0000 0.0000 0.5000
# Magnetic moment: 0.0 μB/cell
# Energy of formation from the pure elements: 0.165 eV per atom
# DFT total energy: -3.36 eV/atom